Entry from Alexandria: crystalline HgRhCl2 at its relaxed geometry (PBE).

Formation energy (no corrections): 0.44 eV/f.u.
Crystal system: tetragonal
Total magnetic moment: 2.81 μB per formula unit
Energy above the lowest structure with this stoichiometry: 408 meV/atom

The structure in CIF format:
```
data_HgRhCl2
_symmetry_space_group_name_H-M 'P 4/m m m'
_symmetry_Int_Tables_number 123
_symmetry_space_group_name_Hall '-P 4 2'
_cell_length_a 3.1879
_cell_length_b 3.1879
_cell_length_c 9.3601
_cell_angle_alpha 90.00
_cell_angle_beta 90.00
_cell_angle_gamma 90.00
loop_
_atom_site_label
_atom_site_type_symbol
_atom_site_fract_x
_atom_site_fract_y
_atom_site_fract_z
_atom_site_occupancy
Hg1 Hg 0.0000 0.0000 0.0000 1
Rh1 Rh 0.0000 0.0000 0.5000 1
Cl1 Cl 0.5000 0.5000 0.3338 1
```

Entry from Alexandria: crystalline Sm15TlIn4 at its relaxed geometry (PBE).

Crystal system: tetragonal
Total magnetic moment: 0.00 μB per formula unit
Energy relative to the elements: -256.3 meV per atom

The structure in CIF format:
```
data_Sm15TlIn4
_symmetry_space_group_name_H-M 'P 4/m m m'
_symmetry_Int_Tables_number 123
_symmetry_space_group_name_Hall '-P 4 2'
_cell_length_a 4.9302
_cell_length_b 4.9302
_cell_length_c 24.7547
_cell_angle_alpha 90.00
_cell_angle_beta 90.00
_cell_angle_gamma 90.00
loop_
_atom_site_label
_atom_site_type_symbol
_atom_site_fract_x
_atom_site_fract_y
_atom_site_fract_z
_atom_site_occupancy
Sm1 Sm 0.0000 0.0000 0.0000 1
Sm2 Sm 0.0000 0.0000 0.2002 1
Sm3 Sm 0.0000 0.0000 0.4000 1
Sm4 Sm 0.0000 0.5000 0.1006 1
Sm5 Sm 0.0000 0.5000 0.3001 1
Sm6 Sm 0.0000 0.5000 0.5000 1
Tl1 Tl 0.5000 0.5000 0.0000 1
In1 In 0.5000 0.5000 0.2000 1
In2 In 0.5000 0.5000 0.4001 1
```

Entry from Alexandria: crystalline KSn2Hg2 at its relaxed geometry (PBE).

Crystal system: tetragonal
Total magnetic moment: 0.00 μB per formula unit
Energy relative to the elements: -145.8 meV per atom
Energy above the lowest structure with this stoichiometry: 9 meV/atom

The structure in CIF format:
```
data_KSn2Hg2
_symmetry_space_group_name_H-M 'P 4/n m m'
_symmetry_Int_Tables_number 129
_cell_length_a 5.0083
_cell_length_b 5.0083
_cell_length_c 12.2363
_cell_angle_alpha 90.00
_cell_angle_beta 90.00
_cell_angle_gamma 90.00
loop_
_symmetry_equiv_pos_as_xyz
'x,y,z'
'-x,-y,-z'
'-y+1/2,x,z'
'y+1/2,-x,-z'
'-x+1/2,-y+1/2,z'
'x+1/2,y+1/2,-z'
'y,-x+1/2,z'
'-y,x+1/2,-z'
'x+1/2,-y,-z'
'-x+1/2,y,z'
'-y,-x,-z'
'y,x,z'
'-x,y+1/2,-z'
'x,-y+1/2,z'
'y+1/2,x+1/2,-z'
'-y+1/2,-x+1/2,z'
loop_
_atom_site_label
_atom_site_type_symbol
_atom_site_fract_x
_atom_site_fract_y
_atom_site_fract_z
_atom_site_occupancy
K1 K 0.2500 0.2500 0.2439 1
Sn1 Sn 0.2500 0.2500 0.8715 1
Sn2 Sn 0.2500 0.7500 0.5000 1
Hg1 Hg 0.2500 0.2500 0.6403 1
Hg2 Hg 0.2500 0.7500 0.0000 1
```

Entry from Alexandria: crystalline Tc3IrN at its relaxed geometry (PBE).

Formation energy (no corrections): 14.28 eV/f.u.
Crystal system: cubic
Total magnetic moment: 1.90 μB per formula unit
Energy above the lowest structure with this stoichiometry: 2864 meV/atom

The structure in CIF format:
```
data_Tc3IrN
_symmetry_space_group_name_H-M 'P m -3 m'
_symmetry_Int_Tables_number 221
_symmetry_space_group_name_Hall '-P 4 2 3'
_cell_length_a 4.7326
_cell_length_b 4.7326
_cell_length_c 4.7326
_cell_angle_alpha 90.00
_cell_angle_beta 90.00
_cell_angle_gamma 90.00
loop_
_atom_site_label
_atom_site_type_symbol
_atom_site_fract_x
_atom_site_fract_y
_atom_site_fract_z
_atom_site_occupancy
Tc1 Tc 0.0000 0.0000 0.5000 1
Ir1 Ir 0.0000 0.0000 0.0000 1
N1 N 0.5000 0.5000 0.5000 1
```

Entry from Alexandria: crystalline Sc2Sb2As at its relaxed geometry (PBE).

Formation energy (no corrections): -3.36 eV/f.u.
Crystal system: tetragonal
Total magnetic moment: 0.00 μB per formula unit

The structure in CIF format:
```
data_Sc2Sb2As
_symmetry_space_group_name_H-M 'P 4/m b m'
_symmetry_Int_Tables_number 127
_symmetry_space_group_name_Hall '-P 4 2ab'
_cell_length_a 7.3642
_cell_length_b 7.3642
_cell_length_c 4.2759
_cell_angle_alpha 90.00
_cell_angle_beta 90.00
_cell_angle_gamma 90.00
loop_
_atom_site_label
_atom_site_type_symbol
_atom_site_fract_x
_atom_site_fract_y
_atom_site_fract_z
_atom_site_occupancy
Sc1 Sc 0.1662 0.3338 0.0000 1
Sb1 Sb 0.1442 0.6442 0.5000 1
As1 As 0.0000 0.0000 0.0000 1
```

Entry from Alexandria: crystalline DyZr3N at its relaxed geometry (PBE).

Formation energy (no corrections): -2.92 eV/f.u.
Crystal system: cubic
Total magnetic moment: 0.00 μB per formula unit

The structure in CIF format:
```
data_DyZr3N
_symmetry_space_group_name_H-M 'P m -3 m'
_symmetry_Int_Tables_number 221
_symmetry_space_group_name_Hall '-P 4 2 3'
_cell_length_a 4.6483
_cell_length_b 4.6483
_cell_length_c 4.6483
_cell_angle_alpha 90.00
_cell_angle_beta 90.00
_cell_angle_gamma 90.00
loop_
_atom_site_label
_atom_site_type_symbol
_atom_site_fract_x
_atom_site_fract_y
_atom_site_fract_z
_atom_site_occupancy
Dy1 Dy 0.0000 0.0000 0.0000 1
Zr1 Zr 0.0000 0.5000 0.5000 1
N1 N 0.5000 0.5000 0.5000 1
```

Q: Which of these has the highest total magnetic moment?
A: HgRhCl2